Here is a relaxed Tm5Cd4Hg crystal from the Alexandria database. Energies are from GGA-PBE.

a = 3.6887 Å, b = 3.6887 Å, c = 18.4802 Å
α = 90.00°, β = 90.00°, γ = 90.00°
Last column: nearest neighbours and their distance in Å.
Positions (direct):
Tm (0.5000, 0.5000, 0.0982)  4 Hg 3.18, 4 Cd 3.22
Tm (0.5000, 0.5000, 0.2995)  8 Cd 3.19-3.20
Tm (0.5000, 0.5000, 0.5000)  8 Cd 3.20
Tm (0.5000, 0.5000, 0.7005)  8 Cd 3.19-3.20
Tm (0.5000, 0.5000, 0.9018)  4 Hg 3.18, 4 Cd 3.22
Cd (0.0000, 0.0000, 0.2004)  8 Tm 3.19-3.22
Cd (0.0000, 0.0000, 0.3997)  8 Tm 3.20
Cd (0.0000, 0.0000, 0.6003)  8 Tm 3.20
Cd (0.0000, 0.0000, 0.7996)  8 Tm 3.19-3.22
Hg (0.0000, 0.0000, 0.0000)  8 Tm 3.18

Calculated values
- Volume: 25.14 Å³ per atom
- Electronic total energy: -2.977 eV per atom
- N(E_F): 7.8 states/eV per cell
- Calculated formation energy: -7.97 kcal/mol of atoms
- Spin magnetization: 0.000 μB per formula unit
- Space-group type: P4/mmm



Here is a relaxed Tm2CdHg2 crystal from the Alexandria database. Energies are from GGA-PBE.

a = 7.9811 Å, b = 7.9811 Å, c = 7.8212 Å
α = 90.00°, β = 90.00°, γ = 90.00°
Last column: nearest neighbours and their distance in Å.
Positions (direct):
Tm (0.6675, 0.8347, 0.5000)  6 Hg 2.99-3.11
Tm (0.3325, 0.1653, 0.5000)  6 Hg 2.99-3.11
Tm (0.8325, 0.3347, 0.0000)  6 Hg 2.99-3.11
Tm (0.1675, 0.6653, 0.0000)  6 Hg 2.99-3.11
Tm (0.8347, 0.3325, 0.5000)  6 Hg 2.99-3.11
Tm (0.1653, 0.6675, 0.5000)  6 Hg 2.99-3.11
Tm (0.3347, 0.1675, 0.0000)  6 Hg 2.99-3.11
Tm (0.6653, 0.8325, 0.0000)  6 Hg 2.99-3.11
Cd (0.5000, 0.5000, 0.2131)  4 Hg 3.13, 1 Cd 3.33, 4 Tm 3.40
Cd (0.0000, 0.0000, 0.7131)  4 Hg 3.13, 1 Cd 3.33, 4 Tm 3.40
Cd (0.5000, 0.5000, 0.7869)  4 Hg 3.13, 1 Cd 3.33, 4 Tm 3.40
Cd (0.0000, 0.0000, 0.2869)  4 Hg 3.13, 1 Cd 3.33, 4 Tm 3.40
Hg (0.3664, 0.8664, 0.2500)  6 Tm 2.99-3.11, 1 Hg 3.02, 2 Cd 3.13
Hg (0.6336, 0.1336, 0.2500)  6 Tm 2.99-3.11, 1 Hg 3.02, 2 Cd 3.13
Hg (0.1336, 0.3664, 0.7500)  6 Tm 2.99-3.11, 1 Hg 3.02, 2 Cd 3.13
Hg (0.8664, 0.6336, 0.7500)  6 Tm 2.99-3.11, 1 Hg 3.02, 2 Cd 3.13
Hg (0.8664, 0.6336, 0.2500)  6 Tm 2.99-3.11, 1 Hg 3.02, 2 Cd 3.13
Hg (0.1336, 0.3664, 0.2500)  6 Tm 2.99-3.11, 1 Hg 3.02, 2 Cd 3.13
Hg (0.3664, 0.8664, 0.7500)  6 Tm 2.99-3.11, 1 Hg 3.02, 2 Cd 3.13
Hg (0.6336, 0.1336, 0.7500)  6 Tm 2.99-3.11, 1 Hg 3.02, 2 Cd 3.13

Calculated values
- Volume: 24.91 Å³ per atom
- Electronic total energy: -2.480 eV per atom
- N(E_F): 11.8 states/eV per cell
- Calculated formation energy: -8.95 kcal/mol of atoms
- Spin magnetization: 0.000 μB per formula unit
- Space-group type: P4/mnc



Here is a relaxed Tm4CdHg crystal from the Alexandria database. Energies are from GGA-PBE.

a = 5.0391 Å, b = 5.0397 Å, c = 7.1684 Å
α = 89.99°, β = 89.99°, γ = 90.00°
Last column: nearest neighbours and their distance in Å.
Positions (direct):
Tm (0.5012, 0.9971, 0.2505)  2 Hg 3.08, 2 Cd 3.10
Tm (0.5014, 0.9975, 0.7457)  2 Hg 3.08, 2 Cd 3.10
Tm (0.0014, 0.4975, 0.7457)  2 Hg 3.08, 2 Cd 3.10
Tm (0.0012, 0.4971, 0.2506)  2 Hg 3.08, 2 Cd 3.10
Cd (0.5013, 0.4973, 0.9981)  8 Tm 3.10
Hg (0.0013, 0.9973, 0.4981)  8 Tm 3.08

Calculated values
- Volume: 30.34 Å³ per atom
- Electronic total energy: -3.200 eV per atom
- N(E_F): 4.6 states/eV per cell
- Calculated formation energy: -0.37 kcal/mol of atoms
- Spin magnetization: 0.000 μB per formula unit
- Space-group type: P4/mmm



Here is a relaxed TmCd4Hg2 crystal from the Alexandria database. Energies are from GGA-PBE.

a = 3.3428 Å, b = 4.8886 Å, c = 10.2215 Å
α = 103.84°, β = 90.00°, γ = 90.00°
Last column: nearest neighbours and their distance in Å.
Positions (direct):
Tm (0.0000, 0.0000, 0.0000)  8 Hg 3.30, 2 Tm 3.34, 4 Cd 3.47
Cd (0.5000, 0.8467, 0.6933)  2 Hg 2.92, 6 Cd 3.15-3.24
Cd (0.0000, 0.7071, 0.4142)  8 Cd 2.98-3.24, 2 Hg 3.14
Cd (0.5000, 0.1533, 0.3067)  2 Hg 2.92, 6 Cd 3.15-3.24
Cd (0.0000, 0.2929, 0.5858)  8 Cd 2.98-3.24, 2 Hg 3.14
Hg (0.5000, 0.5730, 0.1460)  1 Hg 2.90, 4 Cd 2.92-3.14
Hg (0.5000, 0.4270, 0.8540)  1 Hg 2.90, 4 Cd 2.92-3.14

Calculated values
- Volume: 23.17 Å³ per atom
- Electronic total energy: -1.378 eV per atom
- N(E_F): 2.2 states/eV per cell
- E above lowest polymorph: 0 meV per atom
- Calculated formation energy: -3.01 kcal/mol of atoms
- Spin magnetization: 0.000 μB per formula unit
- Space-group type: Cmmm



Here is a relaxed TmCd7Hg4 crystal from the Alexandria database. Energies are from GGA-PBE.

a = 6.1704 Å, b = 8.8164 Å, c = 6.9077 Å
α = 72.58°, β = 63.47°, γ = 69.52°
Last column: nearest neighbours and their distance in Å.
Positions (direct):
Tm (0.0000, 0.0000, 0.0000)  8 Cd 3.09-3.16
Cd (0.7437, 0.0045, 0.5081)  5 Cd 3.03-3.19, 2 Hg 3.07-3.08, 1 Tm 3.15
Cd (0.2563, 0.9955, 0.4919)  5 Cd 3.03-3.19, 2 Hg 3.07-3.08, 1 Tm 3.15
Cd (0.0031, 0.6634, 0.3303)  4 Hg 3.03-3.09, 3 Cd 3.11-3.19, 1 Tm 3.16
Cd (0.9969, 0.3366, 0.6697)  4 Hg 3.03-3.09, 3 Cd 3.11-3.19, 1 Tm 3.16
Cd (0.2546, 0.6634, 0.8274)  5 Hg 3.03-3.21, 2 Cd 3.11-3.14, 1 Tm 3.14
Cd (0.5000, 0.0000, 0.0000)  2 Cd 3.03, 2 Tm 3.09, 4 Hg 3.11
Cd (0.7454, 0.3366, 0.1726)  5 Hg 3.03-3.21, 2 Cd 3.11-3.14, 1 Tm 3.14
Hg (0.4948, 0.3334, 0.6770)  6 Cd 3.03-3.11, 2 Hg 3.11-3.21
Hg (0.5052, 0.6666, 0.3230)  6 Cd 3.03-3.11, 2 Hg 3.11-3.21
Hg (0.7549, 0.6707, 0.8195)  7 Cd 3.03-3.21, 1 Hg 3.11
Hg (0.2451, 0.3293, 0.1805)  7 Cd 3.03-3.21, 1 Hg 3.11

Calculated values
- Volume: 25.86 Å³ per atom
- Electronic total energy: -0.974 eV per atom
- N(E_F): 4.6 states/eV per cell
- Calculated formation energy: 0.75 kcal/mol of atoms
- Spin magnetization: 0.000 μB per formula unit
- Space-group type: C2/m



Here is a relaxed TmCd2Hg crystal from the Alexandria database. Energies are from GGA-PBE.

a = 3.7525 Å, b = 3.7525 Å, c = 6.8661 Å
α = 90.00°, β = 90.00°, γ = 90.00°
Last column: nearest neighbours and their distance in Å.
Positions (direct):
Tm (0.5000, 0.5000, 0.5000)  8 Cd 3.20, 2 Hg 3.43
Hg (0.5000, 0.5000, 0.0000)  8 Cd 3.12, 2 Tm 3.43
Cd (0.0000, 0.0000, 0.7611)  4 Hg 3.12, 4 Tm 3.20, 1 Cd 3.28
Cd (0.0000, 0.0000, 0.2389)  4 Hg 3.12, 4 Tm 3.20, 1 Cd 3.28

Calculated values
- Volume: 24.17 Å³ per atom
- Electronic total energy: -1.808 eV per atom
- N(E_F): 1.8 states/eV per cell
- E above lowest polymorph: 117 meV per atom
- Calculated formation energy: -3.61 kcal/mol of atoms
- Spin magnetization: 0.003 μB per formula unit
- Space-group type: P4/mmm



Here is a relaxed TmCd8Hg2 crystal from the Alexandria database. Energies are from GGA-PBE.

a = 5.0411 Å, b = 8.2600 Å, c = 8.1151 Å
α = 120.59°, β = 98.98°, γ = 90.00°
Last column: nearest neighbours and their distance in Å.
Positions (direct):
Tm (0.0000, 0.0000, 0.0000)  4 Hg 3.04-3.14, 6 Cd 3.07-3.20
Cd (0.7848, 0.7553, 0.1444)  7 Cd 3.02-3.31, 1 Hg 3.03, 1 Tm 3.07
Cd (0.2152, 0.6109, 0.8556)  7 Cd 3.02-3.31, 1 Hg 3.03, 1 Tm 3.07
Cd (0.8893, 0.7674, 0.5347)  2 Hg 2.86-2.92, 4 Cd 3.02-3.08, 1 Tm 3.20
Cd (0.1107, 0.2326, 0.4653)  2 Hg 2.86-2.92, 4 Cd 3.02-3.08, 1 Tm 3.20
Cd (0.7848, 0.3891, 0.1444)  7 Cd 3.02-3.31, 1 Hg 3.03, 1 Tm 3.07
Cd (0.2152, 0.2447, 0.8556)  7 Cd 3.02-3.31, 1 Hg 3.03, 1 Tm 3.07
Cd (0.3192, 0.6422, 0.2845)  8 Cd 3.02-3.31, 1 Hg 3.13
Cd (0.6808, 0.3578, 0.7155)  8 Cd 3.02-3.31, 1 Hg 3.13
Hg (0.4471, 0.8703, 0.7406)  5 Cd 2.86-3.13, 2 Tm 3.04-3.14
Hg (0.5529, 0.1297, 0.2594)  5 Cd 2.86-3.13, 2 Tm 3.04-3.14

Calculated values
- Volume: 26.00 Å³ per atom
- Electronic total energy: -1.140 eV per atom
- N(E_F): 4.6 states/eV per cell
- E above lowest polymorph: 0 meV per atom
- Calculated formation energy: -0.31 kcal/mol of atoms
- Spin magnetization: 0.000 μB per formula unit
- Space-group type: C2/m



Here is a relaxed TmCd8Hg2 crystal from the Alexandria database. Energies are from GGA-PBE.

a = 5.8864 Å, b = 7.5150 Å, c = 7.5150 Å
α = 64.32°, β = 73.91°, γ = 73.91°
Last column: nearest neighbours and their distance in Å.
Positions (direct):
Tm (0.0000, 0.0000, 0.0000)  8 Cd 3.15-3.39, 2 Hg 3.45
Cd (0.1148, 0.1368, 0.5263)  1 Hg 2.91, 5 Cd 2.96-3.12, 1 Tm 3.17
Cd (0.1148, 0.5263, 0.1368)  1 Hg 2.91, 5 Cd 2.96-3.12, 1 Tm 3.17
Cd (0.8852, 0.8632, 0.4737)  1 Hg 2.91, 5 Cd 2.96-3.12, 1 Tm 3.17
Cd (0.2638, 0.4988, 0.4988)  6 Cd 2.79-3.10, 2 Hg 3.00-3.03
Cd (0.8852, 0.4737, 0.8632)  1 Hg 2.91, 5 Cd 2.96-3.12, 1 Tm 3.17
Cd (0.3928, 0.1189, 0.1189)  3 Cd 2.87-3.09, 1 Hg 2.92, 1 Tm 3.15
Cd (0.6072, 0.8811, 0.8811)  3 Cd 2.87-3.09, 1 Hg 2.92, 1 Tm 3.15
Cd (0.7362, 0.5012, 0.5012)  6 Cd 2.79-3.10, 2 Hg 3.00-3.03
Hg (0.6561, 0.2775, 0.2775)  5 Cd 2.91-3.03
Hg (0.3439, 0.7225, 0.7225)  5 Cd 2.91-3.03

Calculated values
- Volume: 25.74 Å³ per atom
- Electronic total energy: -1.088 eV per atom
- N(E_F): 5.3 states/eV per cell
- E above lowest polymorph: 53 meV per atom
- Calculated formation energy: 0.90 kcal/mol of atoms
- Spin magnetization: 0.000 μB per formula unit
- Space-group type: C2/m



Here is a relaxed TmCd4Hg crystal from the Alexandria database. Energies are from GGA-PBE.

a = 5.8894 Å, b = 5.8894 Å, c = 5.8894 Å
α = 60.00°, β = 60.00°, γ = 60.00°
Last column: nearest neighbours and their distance in Å.
Positions (direct):
Tm (0.2500, 0.2500, 0.2500)  12 Cd 3.45, 4 Hg 3.61
Hg (0.0000, 0.0000, 0.0000)  12 Cd 3.45, 4 Tm 3.61
Cd (0.6245, 0.6245, 0.1266)  6 Cd 2.93-2.96
Cd (0.6245, 0.1266, 0.6245)  6 Cd 2.93-2.96
Cd (0.6245, 0.6245, 0.6245)  6 Cd 2.93-2.96
Cd (0.1266, 0.6245, 0.6245)  6 Cd 2.93-2.96

Calculated values
- Volume: 24.07 Å³ per atom
- Electronic total energy: -1.436 eV per atom
- N(E_F): 3.1 states/eV per cell
- E above lowest polymorph: 129 meV per atom
- Calculated formation energy: -0.71 kcal/mol of atoms
- Spin magnetization: 0.000 μB per formula unit
- Space-group type: F-43m



Here is a relaxed TmCd2Hg2 crystal from the Alexandria database. Energies are from GGA-PBE.

a = 4.8786 Å, b = 4.8786 Å, c = 6.3545 Å
α = 67.42°, β = 67.42°, γ = 59.99°
Last column: nearest neighbours and their distance in Å.
Positions (direct):
Tm (0.0000, 0.5000, 0.0000)  6 Hg 3.07
Cd (0.2021, 0.7021, 0.3935)  3 Hg 3.00, 3 Cd 3.07
Cd (0.7979, 0.2979, 0.6065)  3 Hg 3.00, 3 Cd 3.07
Hg (0.5957, 0.0957, 0.2128)  3 Cd 3.00, 3 Tm 3.07, 1 Hg 3.27
Hg (0.4043, 0.9043, 0.7872)  3 Cd 3.00, 3 Tm 3.07, 1 Hg 3.27

Calculated values
- Volume: 23.48 Å³ per atom
- Electronic total energy: -1.613 eV per atom
- N(E_F): 1.9 states/eV per cell
- Calculated formation energy: -5.34 kcal/mol of atoms
- Spin magnetization: 0.000 μB per formula unit
- Space-group type: R-3m



Here is a relaxed Tm2Cd5Hg crystal from the Alexandria database. Energies are from GGA-PBE.

a = 4.3970 Å, b = 6.5666 Å, c = 13.0922 Å
α = 90.00°, β = 90.00°, γ = 90.00°
Last column: nearest neighbours and their distance in Å.
Positions (direct):
Tm (0.5000, 0.2313, 0.6208)  2 Hg 3.11, 10 Cd 3.21-3.30
Tm (0.5000, 0.7687, 0.3792)  2 Hg 3.11, 10 Cd 3.21-3.30
Tm (0.5000, 0.2687, 0.1208)  2 Hg 3.11, 10 Cd 3.21-3.30
Tm (0.5000, 0.7313, 0.8792)  2 Hg 3.11, 10 Cd 3.21-3.30
Cd (0.0000, 0.0000, 0.0000)  6 Cd 3.17-3.24, 4 Tm 3.23, 2 Hg 3.28
Cd (0.0000, 0.5000, 0.5000)  6 Cd 3.17-3.24, 4 Tm 3.23, 2 Hg 3.28
Cd (0.0000, 0.4833, 0.7474)  7 Cd 3.15-3.28, 4 Tm 3.21-3.23, 1 Hg 3.31
Cd (0.0000, 0.5167, 0.2526)  7 Cd 3.15-3.28, 4 Tm 3.21-3.23, 1 Hg 3.31
Cd (0.0000, 0.0167, 0.2474)  7 Cd 3.15-3.28, 4 Tm 3.21-3.23, 1 Hg 3.31
Cd (0.0000, 0.9833, 0.7526)  7 Cd 3.15-3.28, 4 Tm 3.21-3.23, 1 Hg 3.31
Cd (0.5000, 0.2332, 0.8705)  6 Cd 3.15-3.18, 4 Tm 3.27-3.30, 2 Hg 3.28
Cd (0.5000, 0.7668, 0.1295)  6 Cd 3.15-3.18, 4 Tm 3.27-3.30, 2 Hg 3.28
Cd (0.5000, 0.2668, 0.3705)  6 Cd 3.15-3.18, 4 Tm 3.27-3.30, 2 Hg 3.28
Cd (0.5000, 0.7332, 0.6295)  6 Cd 3.15-3.18, 4 Tm 3.27-3.30, 2 Hg 3.28
Hg (0.0000, 0.0000, 0.5000)  4 Tm 3.11, 8 Cd 3.28-3.31
Hg (0.0000, 0.5000, 0.0000)  4 Tm 3.11, 8 Cd 3.28-3.31

Calculated values
- Volume: 23.63 Å³ per atom
- Electronic total energy: -1.963 eV per atom
- N(E_F): 13.2 states/eV per cell
- E above lowest polymorph: 0 meV per atom
- Calculated formation energy: -5.43 kcal/mol of atoms
- Spin magnetization: 0.000 μB per formula unit
- Space-group type: Pbam